The following is a GGA-PBE calculation of a relaxed structure of LiDyMg2, from Alexandria via LeMat-Bulk.

As for the total magnetization: 0.2 μB per formula unit. The calculated formation energy is -0.04 eV per atom. As for the total energy: -9.9 eV for the cell shown. The value obtained for the polymorph energy (0 for the lowest one) is 0.0 meV per atom. The density of states at the Fermi level comes out at 1.007 states/eV per atom.

It has space group P4/mmm (No. 123), with a = 3.5176 Å, b = 3.5176 Å, c = 7.7957 Å, α = 90.00°, β = 90.00° and γ = 90.00°. The inequivalent atoms are Li at (0.0000, 0.0000, 0.0000), Dy at (0.0000, 0.0000, 0.5000) and Mg at (0.5000, 0.5000, 0.2151).